(1)
TiBeP2Os after structural relaxation. Source: Alexandria via LeMat-Bulk, functional PBE-GGA.

Cell lengths 4.246, 4.246, 3.960 Å; angles 90.00, 90.00, 90.00 degrees
Fractional coordinates of all 5 atoms:
Ti 0.000 0.000 0.000
Be 0.500 0.500 0.500
P 0.000 0.500 0.500
P 0.500 0.000 0.500
Os 0.500 0.500 0.000

Values from the calculation:
- Energy of formation: 0.5101 eV per atom
- E_tot: -31.12 eV/cell
- Fermi-level density of states: 4.33 states/eV/f.u.
- Total magnetic moment: 0.000 μB per atom

=====

(2)
Ba4PW after structural relaxation. Source: Alexandria via LeMat-Bulk, functional PBE-GGA.

Cell lengths 6.927, 6.927, 6.927 Å; angles 60.00, 60.00, 60.00 degrees
Fractional coordinates of all 6 atoms:
Ba 0.124 0.124 0.124
Ba 0.124 0.124 0.627
Ba 0.124 0.627 0.124
Ba 0.627 0.124 0.124
P 0.750 0.750 0.750
W 0.500 0.500 0.500

Values from the calculation:
- Energy of formation: 1.2855 eV per atom
- E_tot: -18.34 eV/cell
- Fermi-level density of states: 6.27 states/eV/f.u.
- Total magnetic moment: 0.542 μB per atom

=====

(3)
DyErPd2 after structural relaxation. Source: Alexandria via LeMat-Bulk, functional PBE-GGA.

Cell lengths 3.459, 3.459, 7.136 Å; angles 90.00, 90.00, 90.00 degrees
Fractional coordinates of all 4 atoms:
Dy 0.000 0.000 0.000
Er 0.000 0.000 0.500
Pd 0.500 0.500 0.255
Pd 0.500 0.500 0.745

Values from the calculation:
- Energy of formation: -0.8914 eV per atom
- Polymorph energy (0 for the lowest one): 40 meV per atom
- E_tot: -23.12 eV/cell
- Fermi-level density of states: 3.49 states/eV/f.u.
- Total magnetic moment: 0.000 μB per atom

=====

(4)
RbBa4O5 after structural relaxation. Source: Alexandria via LeMat-Bulk, functional PBE-GGA.

Cell lengths 6.969, 6.969, 9.801 Å; angles 120.89, 120.89, 33.76 degrees
Fractional coordinates of all 10 atoms:
Rb 0.000 0.000 0.000
Ba 0.206 0.206 0.802
Ba 0.403 0.403 0.606
Ba 0.597 0.597 0.394
Ba 0.794 0.794 0.198
O 0.000 0.000 0.500
O 0.208 0.208 0.320
O 0.387 0.387 0.113
O 0.613 0.613 0.887
O 0.792 0.792 0.680

Values from the calculation:
- ΔE_f (raw): -2138 meV/atom
- E_tot: -54.83 eV/cell
- Fermi-level density of states: 6.38 states/eV/f.u.
- Total magnetic moment: 0.108 μB per atom

=====

> The lowest Fermi-level density of states belongs to which entry?

DyErPd2

=====

> Look up the Fermi-level density of states of the third one.

3.49 states/eV/f.u.